(1)
Density functional theory data (GGA-PBE) for an optimized crystal structure of BaLi2Os.

a b c (Å): 5.5343 5.5343 3.0272
angles (deg): 79.85 79.85 113.60
Fractional coordinates of all 4 atoms:
Li 0.5000 0.5000 0.0000
Li 0.0000 0.0000 0.0000
Ba 0.0000 0.5000 0.5000
Os 0.5000 0.0000 0.5000

- offset from the most stable computed form (meV per atom) = 166
- total magnetization (μB/atom) = 0.00
- DFT formation energy (kJ/mol of formula units) = 294
- mass density (g cm⁻³) = 7.0
- SG = No. 12


(2)
Density functional theory data (GGA-PBE) for an optimized crystal structure of Er8Pt2Pb.

a b c (Å): 5.4550 7.9650 7.9650
angles (deg): 113.72 97.90 97.90
Fractional coordinates of all 11 atoms:
Er 0.2007 0.3985 0.3985
Pt 0.5001 0.3082 0.6982
Er 0.4176 0.9241 0.6706
Er 0.4176 0.6706 0.9241
Pt 0.5001 0.6982 0.3082
Pb 0.9992 0.0031 0.0031
Er 0.5824 0.0821 0.3356
Er 0.7994 0.6077 0.6077
Er 0.0000 0.2495 0.7564
Er 0.5824 0.3356 0.0821
Er 0.0000 0.7564 0.2495

- total magnetization (μB/atom) = 0.08
- DFT formation energy (kJ/mol of formula units) = -578
- mass density (g cm⁻³) = 10.5
- SG = No. 8


(3)
Density functional theory data (GGA-PBE) for an optimized crystal structure of Pm5Al2Ag.

a b c (Å): 7.7705 7.7705 9.4402
angles (deg): 114.30 114.30 90.00
Fractional coordinates of all 16 atoms:
Al 0.8812 0.6188 0.0000
Al 0.6188 0.1188 0.0000
Pm 0.5230 0.6815 0.7045
Pm 0.0230 0.5230 0.7045
Pm 0.1815 0.0230 0.7045
Pm 0.5000 0.5000 0.0000
Al 0.1188 0.3812 0.0000
Pm 0.4770 0.3185 0.2955
Pm 0.0000 0.0000 0.0000
Pm 0.6815 0.1815 0.7045
Ag 0.7500 0.7500 0.5000
Ag 0.2500 0.2500 0.5000
Pm 0.9770 0.4770 0.2955
Pm 0.3185 0.8185 0.2955
Pm 0.8185 0.9770 0.2955
Al 0.3812 0.8812 0.0000

- total magnetization (μB/atom) = 0.00
- DFT formation energy (kJ/mol of formula units) = -170
- mass density (g cm⁻³) = 6.4
- SG = No. 140


(4)
Density functional theory data (GGA-PBE) for an optimized crystal structure of KCrH3.

a b c (Å): 4.4082 4.4082 4.4082
angles (deg): 90.00 90.00 90.00
Fractional coordinates of all 5 atoms:
H 0.0000 0.0000 0.5000
Cr 0.5000 0.5000 0.5000
K 0.0000 0.0000 0.0000
H 0.5000 0.0000 0.0000
H 0.0000 0.5000 0.0000

- offset from the most stable computed form (meV per atom) = 1247
- total magnetization (μB/atom) = 0.80
- mass density (g cm⁻³) = 1.8
- SG = No. 221


(5)
Density functional theory data (GGA-PBE) for an optimized crystal structure of SiPbSeBr2.

a b c (Å): 5.1575 5.1575 5.2452
angles (deg): 90.00 90.00 90.00
Fractional coordinates of all 5 atoms:
Br 0.0000 0.5000 0.0000
Br 0.5000 0.0000 0.0000
Si 0.0000 0.0000 0.0000
Se 0.0000 0.0000 0.5000
Pb 0.5000 0.5000 0.5000

- offset from the most stable computed form (meV per atom) = 0
- raw formation energy (eV/atom) = -0.1722
- total magnetization (μB/atom) = 0.00
- mass density (g cm⁻³) = 5.6
- SG = No. 123


(6)
Density functional theory data (GGA-PBE) for an optimized crystal structure of AcYPd.

a b c (Å): 6.6046 8.9865 7.4957
angles (deg): 125.05 90.00 90.00
Fractional coordinates of all 12 atoms:
Ac 0.8622 0.3611 0.7201
Pd 0.9087 0.9778 0.6654
Pd 0.0913 0.0222 0.3346
Pd 0.5913 0.4778 0.1654
Y 0.8430 0.2010 0.1233
Y 0.6570 0.7010 0.6233
Y 0.1570 0.7990 0.8767
Ac 0.3622 0.1389 0.7799
Pd 0.4087 0.5222 0.8346
Ac 0.1378 0.6389 0.2799
Y 0.3430 0.2990 0.3767
Ac 0.6378 0.8611 0.2201

- offset from the most stable computed form (meV per atom) = 0
- total magnetization (μB/atom) = 0.00
- DFT formation energy (kJ/mol of formula units) = -162
- mass density (g cm⁻³) = 7.7
- SG = No. 14


(7)
Density functional theory data (GGA-PBE) for an optimized crystal structure of K2CoNiS4.

a b c (Å): 5.3452 6.9642 11.3011
angles (deg): 84.79 76.32 67.43
Fractional coordinates of all 16 atoms:
Ni 0.7500 0.5000 0.5000
S 0.1561 0.3135 0.3907
Co 0.5000 0.0000 0.0000
K 0.9308 0.5000 0.1385
S 0.5304 0.3135 0.6093
S 0.2968 0.8135 0.1093
K 0.5692 0.5000 0.8615
K 0.8192 0.0000 0.3615
S 0.8604 0.6865 0.6093
S 0.5939 0.1865 0.1093
Co 0.2500 0.5000 0.5000
S 0.2196 0.1865 0.8907
K 0.1808 0.0000 0.6385
S 0.4532 0.6865 0.3907
Ni 0.0000 0.0000 0.0000
S 0.8896 0.8135 0.8907

- raw formation energy (eV/atom) = -0.6473
- total magnetization (μB/atom) = 0.00
- mass density (g cm⁻³) = 2.9
- SG = No. 70


Total DFT energy (no corrections)
In order: -3.48; -5.30; -4.48; -2.92; -3.36; -5.81; -4.60
Unit: eV/atom